Entry 1:
A plane-wave DFT calculation with PBE was carried out for a geometry-optimized ScSi2TcS structure.

a = 4.9064 Å, b = 4.6048 Å, c = 4.9064 Å
α = 90.00°, β = 90.00°, γ = 90.00°
Each line ends with the local moment (μB).
Fractional coordinates of all 5 atoms:
S 0.0000 0.5000 0.0000  0.00
Sc 0.0000 0.0000 0.0000  -0.02
Si 0.5000 0.0000 0.0000  0.00
Si 0.0000 0.0000 0.5000  0.00
Tc 0.5000 0.5000 0.5000  -0.12

* ΔE_f (raw): 6.51 eV/f.u.
* E_tot: -5.033 eV/atom



Entry 2:
A plane-wave DFT calculation with PBE was carried out for a geometry-optimized Sc4SiTe2S structure.

a = 3.9282 Å, b = 7.0434 Å, c = 6.7935 Å
α = 71.13°, β = 90.00°, γ = 90.00°
Fractional coordinates of all 8 atoms:
Te 0.0000 0.0000 0.0000
Te 0.5000 0.0000 0.5000
S 0.5000 0.5000 0.0000
Si 0.0000 0.5000 0.5000
Sc 0.5000 0.7116 0.2643
Sc 0.0000 0.2933 0.2376
Sc 0.0000 0.7067 0.7624
Sc 0.5000 0.2884 0.7357

* ΔE_f (raw): -10.03 eV/f.u.
* E_tot: -6.399 eV/atom



Entry 3:
A plane-wave DFT calculation with PBE was carried out for a geometry-optimized Sc8Si3Te4S structure.

a = 7.9168 Å, b = 8.0904 Å, c = 7.9168 Å
α = 119.29°, β = 120.00°, γ = 90.00°
Fractional coordinates of all 16 atoms:
Si 0.0000 0.5000 0.5000
Si 0.5000 0.5000 0.0000
Si 0.5000 0.5000 0.5000
Sc 0.7609 0.2873 0.5218
Sc 0.7391 0.7172 0.4782
Sc 0.2390 0.7125 0.9734
Sc 0.7344 0.7125 0.9734
Sc 0.2656 0.2875 0.0266
Sc 0.2609 0.2828 0.5218
Sc 0.7610 0.2875 0.0266
Sc 0.2391 0.7127 0.4782
Te 0.0000 0.0000 0.5000
Te 0.0000 0.0000 0.0000
Te 0.5000 0.0000 0.0000
Te 0.5000 0.0000 0.5000
S 0.0000 0.5000 0.0000

* ΔE_f (raw): -17.78 eV/f.u.
* E_tot: -6.337 eV/atom



Entry 4:
A plane-wave DFT calculation with PBE was carried out for a geometry-optimized ScTlSiS4 structure.

a = 6.1859 Å, b = 6.5665 Å, c = 8.6885 Å
α = 90.00°, β = 107.69°, γ = 90.00°
Fractional coordinates of all 14 atoms:
S 0.9998 0.5007 0.3045
S 0.0002 0.0007 0.6955
S 0.5457 0.2500 0.4213
S 0.4360 0.7500 0.1829
S 0.4543 0.7500 0.5787
S 0.0002 0.4993 0.6955
S 0.5640 0.2500 0.8171
S 0.9998 0.9993 0.3045
Sc 0.7788 0.7500 0.4516
Sc 0.2212 0.2500 0.5484
Tl 0.7500 0.7500 0.9358
Tl 0.2500 0.2500 0.0642
Si 0.7657 0.2500 0.6604
Si 0.2343 0.7500 0.3396

* ΔE_f (raw): -7.40 eV/f.u.
* E_tot: -5.433 eV/atom